A geometry-optimized PuZnCu3 structure. Source: Alexandria via LeMat-Bulk, functional PBE.

POSCAR file:
```
PuZnCu3
1.0
0.875 0.806 5.020
4.045 -4.160 2.614
3.387 5.248 1.218
Pu Zn Cu
2 2 6
Cartesian
2.511 0.933 4.714
5.797 0.961 4.137
3.716 0.544 1.916
0.438 0.403 2.510
4.604 3.518 5.260
4.167 3.115 2.750
4.141 -1.220 6.101
3.704 -1.623 3.591
6.356 -0.371 6.904
1.952 2.265 1.947
```

Summary:
DOS(E_F) ... 9.82 states/eV/f.u.
M_tot ... 11.76 μB/cell
Energy of formation ... 0.039 eV per atom